# 1
Cs2HgCl2: relaxed, GGA-PBE.

Summary:
Distance to the lowest polymorph of the same formula = 0 meV/atom
Total moment = 0.0 μB/f.u.
Formation energy from raw total energies = -1.4713 eV/atom
DOS at the Fermi energy = 0.0 states/eV per cell

Cell: 9.836 9.836 4.270 Å, 90.00 90.00 90.00°
Space group P4/mbm (No. 127)
Symmetry-distinct sites (fractional):
Cs1 0.144 0.356 0.000 [4 per cell]
Hg1 0.000 0.000 0.000 [2 per cell]
Cl1 0.153 0.653 0.500 [4 per cell]

=====

# 2
MgInGaO4: relaxed, GGA-PBE.

Summary:
Distance to the lowest polymorph of the same formula = 17 meV/atom
Total moment = 0.0 μB/f.u.
Formation energy from raw total energies = -1.9876 eV/atom
DOS at the Fermi energy = 0.0 states/eV per cell

Cell: 6.106 6.220 8.647 Å, 90.00 90.00 90.00°
Space group Imma (No. 74)
Symmetry-distinct sites (fractional):
Mg1 0.250 0.250 0.250 [4 per cell]
In1 0.000 0.000 0.000 [4 per cell]
Ga1 0.000 0.250 0.630 [4 per cell]
O1 0.000 0.009 0.251 [8 per cell]
O2 0.248 0.250 0.494 [8 per cell]

=====

# 3
KAlSi2: relaxed, GGA-PBE.

Summary:
Total moment = 0.0 μB/f.u.
Formation energy from raw total energies = 0.5840 eV/atom
DOS at the Fermi energy = 2.1 states/eV per cell

Cell: 6.009 9.571 2.759 Å, 90.00 90.00 90.00°
Space group Cmmm (No. 65)
Symmetry-distinct sites (fractional):
K1 0.000 0.000 0.000 [2 per cell]
Al1 0.000 0.500 0.000 [2 per cell]
Si1 0.250 0.250 0.500 [4 per cell]

=====

# 4
Er5TlRh2: relaxed, GGA-PBE.

Summary:
Total moment = 0.0 μB/f.u.
Formation enthalpy at 0 K = -5.02 eV/f.u.
DOS at the Fermi energy = 30.3 states/eV per cell

Cell: 7.708 7.708 13.431 Å, 90.00 90.00 90.00°
Space group I4/mcm (No. 140)
Symmetry-distinct sites (fractional):
Er1 0.000 0.000 0.000 [4 per cell]
Er2 0.158 0.342 0.134 [16 per cell]
Tl1 0.000 0.000 0.250 [4 per cell]
Rh1 0.140 0.360 0.500 [8 per cell]

=====

# 5
Na2Ag3Hg: relaxed, GGA-PBE.

Summary:
Total moment = 0.0 μB/f.u.
Formation enthalpy at 0 K = -0.66 eV/f.u.
DOS at the Fermi energy = 4.3 states/eV per cell

Cell: 9.795 5.752 5.737 Å, 90.00 123.55 90.00°
Space group C2/m (No. 12)
Symmetry-distinct sites (fractional):
Na1 0.123 0.000 0.368 [4 per cell]
Ag1 0.000 0.500 0.000 [2 per cell]
Ag2 0.250 0.250 0.000 [4 per cell]
Hg1 0.000 0.500 0.500 [2 per cell]

=====

# 6
SrPr4Sm: relaxed, GGA-PBE.

Summary:
Total moment = 0.0 μB/f.u.
Formation enthalpy at 0 K = 1.34 eV/f.u.
DOS at the Fermi energy = 37.4 states/eV per cell

Cell: 9.831 9.831 9.831 Å, 90.00 90.00 90.00°
Space group F-43m (No. 216)
Symmetry-distinct sites (fractional):
Sr1 0.000 0.000 0.000 [4 per cell]
Pr1 0.122 0.122 0.378 [16 per cell]
Sm1 0.250 0.250 0.750 [4 per cell]

=====

# 7
LiDyHoBi: relaxed, GGA-PBE.

Summary:
Total moment = 0.0 μB/f.u.
Formation enthalpy at 0 K = -1.12 eV/f.u.
DOS at the Fermi energy = 15.1 states/eV per cell

Cell: 7.489 7.489 7.489 Å, 90.00 90.00 90.00°
Space group F-43m (No. 216)
Symmetry-distinct sites (fractional):
Li1 0.000 0.000 0.000 [4 per cell]
Dy1 0.250 0.250 0.750 [4 per cell]
Ho1 0.250 0.250 0.250 [4 per cell]
Bi1 0.000 0.000 0.500 [4 per cell]

=====

# 8
LaTaBe2: relaxed, GGA-PBE.

Summary:
Distance to the lowest polymorph of the same formula = 273 meV/atom
Total moment = 0.0 μB/f.u.
Formation enthalpy at 0 K = 1.85 eV/f.u.
DOS at the Fermi energy = 5.4 states/eV per cell

Cell: 5.955 7.679 2.949 Å, 90.00 90.00 90.00°
Space group Cmmm (No. 65)
Symmetry-distinct sites (fractional):
La1 0.000 0.000 0.000 [2 per cell]
Ta1 0.000 0.500 0.000 [2 per cell]
Be1 0.250 0.250 0.500 [4 per cell]